Computed, not measured: a geometry-optimized BaTmSe2F structure at the PBE-GGA level of DFT.

Values from the calculation:
The volume comes out at 26.31 Å³/atom. The density of states at the Fermi level is 0.51 states/eV/f.u. The symmetry is No. 129. The spin magnetization comes out at 0.00 μB/f.u. Its raw formation energy is -235 kJ per mole of atoms.

extended XYZ file:
```
10
Lattice="4.1998 0.0000 0.0000 0.0000 4.1998 0.0000 0.0000 0.0000 14.9166" Properties=species:S:1:pos:R:3 pbc="T T T"
Ba 1.0500 1.0500 1.6291
Ba 3.1499 3.1499 13.2875
Tm 1.0500 1.0500 9.1321
Tm 3.1499 3.1499 5.7845
Se 1.0500 1.0500 6.1507
Se 1.0500 1.0500 11.7110
Se 3.1499 3.1499 3.2056
Se 3.1499 3.1499 8.7660
F 1.0500 3.1499 0.0000
F 3.1499 1.0500 0.0000
```